(1)
First-principles (SCAN) data for K2SeBr6 at its PBEsol-relaxed geometry, as listed in Alexandria.

Unit cell a=7.312 b=7.312 c=7.312 alpha=60.00 beta=60.00 gamma=60.00
Element x y z (fractional)
Br: 0.752 0.248 0.752
Br: 0.248 0.752 0.248
Br: 0.752 0.752 0.248
Br: 0.248 0.752 0.752
Br: 0.752 0.248 0.248
Br: 0.248 0.248 0.752
K: 0.250 0.250 0.250
K: 0.750 0.750 0.750
Se: 0.000 0.000 0.000

Computed properties:
For the formation energy from raw total energies, the calculation gives -0.98 eV/atom. The total energy is -18.04 eV per atom. Its symmetry is Fm-3m.

---

(2)
First-principles (SCAN) data for Dy3Ge13Rh4 at its PBEsol-relaxed geometry, as listed in Alexandria.

Unit cell a=8.882 b=8.882 c=8.882 alpha=90.00 beta=90.00 gamma=90.00
Element x y z (fractional)
Ge: 0.353 0.500 0.810
Ge: 0.690 0.000 0.853
Ge: 0.000 0.000 0.000
Ge: 0.190 0.353 0.500
Ge: 0.147 0.690 0.000
Ge: 0.310 0.000 0.853
Ge: 0.853 0.310 0.000
Ge: 0.000 0.147 0.690
Ge: 0.000 0.853 0.690
Ge: 0.500 0.810 0.353
Ge: 0.000 0.147 0.310
Ge: 0.500 0.810 0.647
Ge: 0.810 0.647 0.500
Ge: 0.353 0.500 0.190
Ge: 0.190 0.647 0.500
Ge: 0.810 0.353 0.500
Ge: 0.500 0.190 0.353
Ge: 0.500 0.500 0.500
Ge: 0.147 0.310 0.000
Ge: 0.690 0.000 0.147
Ge: 0.310 0.000 0.147
Ge: 0.853 0.690 0.000
Ge: 0.000 0.853 0.310
Ge: 0.500 0.190 0.647
Ge: 0.647 0.500 0.810
Ge: 0.647 0.500 0.190
Dy: 0.000 0.500 0.750
Dy: 0.500 0.750 0.000
Dy: 0.500 0.250 0.000
Dy: 0.750 0.000 0.500
Dy: 0.000 0.500 0.250
Dy: 0.250 0.000 0.500
Rh: 0.750 0.750 0.250
Rh: 0.250 0.250 0.250
Rh: 0.750 0.250 0.750
Rh: 0.250 0.750 0.750
Rh: 0.750 0.250 0.250
Rh: 0.250 0.250 0.750
Rh: 0.750 0.750 0.750
Rh: 0.250 0.750 0.250

Computed properties:
The energy relative to the elements is -0.6352 eV/atom. The total energy is -26.97 eV per atom. Its symmetry is Pm-3n.